VASP calculation (PBE) on TbPdPt after structural relaxation.

Geometry as extended XYZ:
```
6
Lattice="5.4746 0.0000 0.0000 0.0000 4.4159 0.0000 -1.5733 0.0000 5.2959" Properties=species:S:1:pos:R:3 pbc="T T T"
Tb 0.5873 1.1040 2.0754
Tb 3.3140 3.3119 3.2205
Pd 2.0144 3.3119 0.5769
Pd 1.8869 1.1040 4.7190
Pt -0.8480 1.1040 4.4891
Pt 4.7493 3.3119 0.8068
```

Results
Calculated volume (Å³/atom): 21.3
Spin magnetization (μB per cell): 0.00
VASP energy (eV/atom): -6.09
ΔE to the lowest computed polymorph (meV/atom): 213
Space-group type: P2_1/m, No. 11
Formation energy from the elements (eV/f.u.): -2.4

VASP calculation (PBE) on TbPd3Pt2 after structural relaxation.

Geometry as extended XYZ:
```
12
Lattice="2.8622 1.6525 7.1417 -2.8622 1.6525 7.1417 0.0000 -3.3050 7.1417" Properties=species:S:1:pos:R:3 pbc="T T T"
Tb 0.0000 0.0000 4.7016
Tb 0.0000 0.0000 16.7235
Pd -1.4054 -0.8114 11.9432
Pd 0.0000 -1.6228 9.4818
Pd -1.4054 0.8114 9.4818
Pd 1.4054 -0.8114 11.9432
Pd 0.0000 1.6228 11.9432
Pd 1.4054 0.8114 9.4818
Pt 0.0000 0.0000 0.0000
Pt -1.4311 -0.8262 7.1417
Pt -1.4311 0.8262 14.2834
Pt 0.0000 1.6525 7.1417
```

Results
Calculated volume (Å³/atom): 16.9
Spin magnetization (μB per cell): 0.00
VASP energy (eV/atom): -5.98
ΔE to the lowest computed polymorph (meV/atom): 0
Space-group type: R-3m, No. 166
Formation energy from the elements (eV/f.u.): -3.6

VASP calculation (PBE) on Tb2PdPt4 after structural relaxation.

Geometry as extended XYZ:
```
7
Lattice="0.0000 4.5326 5.5805 2.7471 0.0000 5.5805 2.7471 4.5326 0.0000" Properties=species:S:1:pos:R:3 pbc="T T T"
Tb 2.7471 4.5326 1.6096
Tb 2.7471 4.5326 9.5514
Pd 2.7471 4.5326 5.5805
Pt 1.3736 2.2663 0.0000
Pt 1.3736 2.2663 2.7902
Pt 1.3736 2.2663 5.5805
Pt 4.1207 6.7990 8.3707
```

Results
Calculated volume (Å³/atom): 19.9
Spin magnetization (μB per cell): 0.00
VASP energy (eV/atom): -6.26
ΔE to the lowest computed polymorph (meV/atom): 76
Space-group type: Fmmm, No. 69
Formation energy from the elements (eV/f.u.): -5.2

- Which formula does entry 3 have?
  Tb2PdPt4